# 1
Computed, not measured: CsLa3W after structural relaxation at the PBE level of DFT.

a b c (Å): 5.8453 5.8453 5.8453
angles (deg): 90.00 90.00 90.00
Closest atoms and distances in Å follow each position.
Atoms (fractional coordinates):
Cs: 0.5000 0.5000 0.5000  12 La 4.13
W: 0.0000 0.0000 0.0000  6 La 2.92
La: 0.0000 0.5000 0.0000  2 W 2.92
La: 0.0000 0.0000 0.5000  2 W 2.92
La: 0.5000 0.0000 0.0000  2 W 2.92

The formation energy comes out at 0.584 eV per atom. The calculation puts the density at 6.10 g cm⁻³.

---

# 2
Computed, not measured: CsLa2W after structural relaxation at the PBE level of DFT.

a b c (Å): 8.5667 8.5667 8.5678
angles (deg): 60.00 60.00 90.00
Closest atoms and distances in Å follow each position.
Atoms (fractional coordinates):
Cs: 0.5000 0.5000 0.0000  12 La 5.00-5.05, 4 W 5.25, 4 Cs 5.25
Cs: 0.2500 0.7500 0.5000  12 La 5.00-5.05, 4 W 5.25, 4 Cs 5.25
W: 0.0000 0.0000 0.0000  4 La 2.62
W: 0.7500 0.2500 0.5000  4 La 2.62
La: 0.8713 0.1250 0.2500  2 W 2.62
La: 0.8787 0.6250 0.2500  2 W 2.62
La: 0.3750 0.1287 0.7500  2 W 2.62
La: 0.8750 0.1213 0.7500  2 W 2.62

The formation energy comes out at 0.891 eV per atom. The calculation puts the density at 4.44 g cm⁻³. The energy above the most stable polymorph in this dataset comes out at 0 kJ/mol of formula units.

---

# 3
Computed, not measured: CsLa2Y after structural relaxation at the PBE level of DFT.

a b c (Å): 9.3870 9.3870 7.5450
angles (deg): 51.53 51.53 90.00
Closest atoms and distances in Å follow each position.
Atoms (fractional coordinates):
Cs: 0.0000 0.0000 0.0000  4 La 3.36, 2 Y 3.59
Cs: 0.7500 0.2500 0.5000  4 La 3.36, 2 Y 3.59
Y: 0.5000 0.5000 0.0000  4 La 3.52, 2 Cs 3.59
Y: 0.2500 0.7500 0.5000  4 La 3.52, 2 Cs 3.59
La: 0.6376 0.1250 0.2500  2 Cs 3.36, 2 Y 3.52, 2 La 3.60
La: 0.1124 0.6250 0.2500  2 Cs 3.36, 2 Y 3.52, 2 La 3.60
La: 0.3750 0.3624 0.7500  2 Cs 3.36, 2 Y 3.52, 2 La 3.60
La: 0.8750 0.8876 0.7500  2 Cs 3.36, 2 Y 3.52, 2 La 3.60

The formation energy comes out at 0.734 eV per atom. The calculation puts the density at 5.25 g cm⁻³. The energy above the most stable polymorph in this dataset comes out at 51 kJ/mol of formula units.

---

# 4
Computed, not measured: CsLa2Y after structural relaxation at the PBE level of DFT.

a b c (Å): 6.1587 6.1587 6.1587
angles (deg): 60.00 60.00 60.00
Closest atoms and distances in Å follow each position.
Atoms (fractional coordinates):
Cs: 0.5000 0.5000 0.5000  8 La 3.77
Y: 0.0000 0.0000 0.0000  8 La 3.77
La: 0.2500 0.2500 0.2500  4 Cs 3.77, 4 Y 3.77
La: 0.7500 0.7500 0.7500  4 Y 3.77, 4 Cs 3.77

The formation energy comes out at 0.603 eV per atom. The calculation puts the density at 5.02 g cm⁻³. The energy above the most stable polymorph in this dataset comes out at 0 kJ/mol of formula units.

---

# 5
Computed, not measured: CsLa3Y after structural relaxation at the PBE level of DFT.

a b c (Å): 6.2376 6.2376 6.2376
angles (deg): 90.00 90.00 90.00
Closest atoms and distances in Å follow each position.
Atoms (fractional coordinates):
Cs: 0.5000 0.5000 0.5000  12 La 4.41
Y: 0.0000 0.0000 0.0000  6 La 3.12
La: 0.0000 0.5000 0.0000  2 Y 3.12
La: 0.0000 0.0000 0.5000  2 Y 3.12
La: 0.5000 0.0000 0.0000  2 Y 3.12

The formation energy comes out at 0.634 eV per atom. The calculation puts the density at 4.37 g cm⁻³. The energy above the most stable polymorph in this dataset comes out at 0 kJ/mol of formula units.

---

# 6
Computed, not measured: Cs2LaY after structural relaxation at the PBE level of DFT.

a b c (Å): 6.5454 6.5454 6.5454
angles (deg): 60.00 60.00 60.00
Closest atoms and distances in Å follow each position.
Atoms (fractional coordinates):
Cs: 0.2500 0.2500 0.2500  4 La 4.01, 4 Y 4.01
Cs: 0.7500 0.7500 0.7500  4 La 4.01, 4 Y 4.01
Y: 0.0000 0.0000 0.0000  8 Cs 4.01
La: 0.5000 0.5000 0.5000  8 Cs 4.01

The formation energy comes out at 0.932 eV per atom. The calculation puts the density at 4.13 g cm⁻³.

---

# 7
Computed, not measured: CsLaY2 after structural relaxation at the PBE level of DFT.

a b c (Å): 6.0730 6.0730 6.0730
angles (deg): 60.00 60.00 60.00
Closest atoms and distances in Å follow each position.
Atoms (fractional coordinates):
Cs: 0.0000 0.0000 0.0000  8 Y 3.72
Y: 0.2500 0.2500 0.2500  4 La 3.72, 4 Cs 3.72
Y: 0.7500 0.7500 0.7500  4 La 3.72, 4 Cs 3.72
La: 0.5000 0.5000 0.5000  8 Y 3.72

The formation energy comes out at 0.646 eV per atom. The calculation puts the density at 4.71 g cm⁻³.

---

# 8
Computed, not measured: CsLa3Y after structural relaxation at the PBE level of DFT.

a b c (Å): 5.9344 5.9344 5.9344
angles (deg): 90.00 90.00 90.00
Closest atoms and distances in Å follow each position.
Atoms (fractional coordinates):
Cs: 0.0000 0.0000 0.0000  6 La 2.97
Y: 0.5000 0.5000 0.5000  12 La 4.20
La: 0.0000 0.5000 0.0000  2 Cs 2.97
La: 0.0000 0.0000 0.5000  2 Cs 2.97
La: 0.5000 0.0000 0.0000  2 Cs 2.97

The formation energy comes out at 0.886 eV per atom. The calculation puts the density at 5.07 g cm⁻³. The energy above the most stable polymorph in this dataset comes out at 122 kJ/mol of formula units.

---

# 9
Computed, not measured: CsLa2Zn2 after structural relaxation at the PBE level of DFT.

a b c (Å): 9.4716 9.4716 3.6356
angles (deg): 90.00 90.00 90.00
Closest atoms and distances in Å follow each position.
Atoms (fractional coordinates):
Cs: 0.0000 0.0000 0.0000  2 Cs 3.64, 4 Zn 3.70, 8 La 4.04
Cs: 0.5000 0.5000 0.0000  2 Cs 3.64, 4 Zn 3.70, 8 La 4.04
Zn: 0.3679 0.8679 0.0000  6 La 3.24-3.44, 1 Zn 3.54
Zn: 0.8679 0.6321 0.0000  6 La 3.24-3.44, 1 Zn 3.54
Zn: 0.6321 0.1321 0.0000  6 La 3.24-3.44, 1 Zn 3.54
Zn: 0.1321 0.3679 0.0000  6 La 3.24-3.44, 1 Zn 3.54
La: 0.1503 0.6503 0.5000  6 Zn 3.24-3.44
La: 0.6503 0.8497 0.5000  6 Zn 3.24-3.44
La: 0.8497 0.3497 0.5000  6 Zn 3.24-3.44
La: 0.3497 0.1503 0.5000  6 Zn 3.24-3.44

The formation energy comes out at 0.126 eV per atom. The calculation puts the density at 5.51 g cm⁻³.

---

# 10
Computed, not measured: CsLa2Zr after structural relaxation at the PBE level of DFT.

a b c (Å): 9.0611 9.0611 7.8593
angles (deg): 54.80 54.80 90.00
Closest atoms and distances in Å follow each position.
Atoms (fractional coordinates):
Cs: 0.0000 0.0000 0.0000  8 La 4.22-4.35, 2 Zr 4.55
Cs: 0.7500 0.2500 0.5000  8 La 4.22-4.35, 2 Zr 4.55
Zr: 0.5000 0.5000 0.0000  4 La 2.72
Zr: 0.2500 0.7500 0.5000  4 La 2.72
La: 0.4845 0.1250 0.2500  2 Zr 2.72
La: 0.2655 0.6250 0.2500  2 Zr 2.72
La: 0.3750 0.5155 0.7500  2 Zr 2.72
La: 0.8750 0.7345 0.7500  2 Zr 2.72

The formation energy comes out at 0.891 eV per atom. The calculation puts the density at 4.46 g cm⁻³. The energy above the most stable polymorph in this dataset comes out at 51 kJ/mol of formula units.

---

# 11
Computed, not measured: Cs3LaZr after structural relaxation at the PBE level of DFT.

a b c (Å): 7.2113 7.2113 7.2113
angles (deg): 90.00 90.00 90.00
Closest atoms and distances in Å follow each position.
Atoms (fractional coordinates):
Cs: 0.0000 0.5000 0.0000  2 La 3.61
Cs: 0.0000 0.0000 0.5000  2 La 3.61
Cs: 0.5000 0.0000 0.0000  2 La 3.61
Zr: 0.5000 0.5000 0.5000  12 Cs 5.10
La: 0.0000 0.0000 0.0000  6 Cs 3.61

The formation energy comes out at 1.595 eV per atom. The calculation puts the density at 2.78 g cm⁻³.

---

# 12
Computed, not measured: CsLaZr3 after structural relaxation at the PBE level of DFT.

a b c (Å): 5.3784 5.3784 5.3784
angles (deg): 90.00 90.00 90.00
Closest atoms and distances in Å follow each position.
Atoms (fractional coordinates):
Cs: 0.0000 0.0000 0.0000  6 Zr 2.69
Zr: 0.0000 0.5000 0.0000  2 Cs 2.69
Zr: 0.0000 0.0000 0.5000  2 Cs 2.69
Zr: 0.5000 0.0000 0.0000  2 Cs 2.69
La: 0.5000 0.5000 0.5000  12 Zr 3.80

The formation energy comes out at 1.560 eV per atom. The calculation puts the density at 5.82 g cm⁻³. The energy above the most stable polymorph in this dataset comes out at 69 kJ/mol of formula units.